## La12PmDy6 (PBE)

Data for an optimized crystal structure of La12PmDy6.

Summary:
- Calculated density: 6.9 g/cm³
- Density of states at the Fermi level: 1.8478 states/eV per atom
- Crystal system: trigonal
- Formation enthalpy at 0 K: 0.023 eV/atom
- Total magnetization: 0.00 μB per cell
- Calculated total energy: -4.792 eV per atom
- Volume: 2000.55 Å³/cell

Lattice parameters (Å, degrees): 15.9867 15.9867 9.0386 90.00 90.00 120.00
Space group R-3 (No. 148, hexagonal axes)
One atom of each set of equivalent atoms:
La  0.0354  0.7560  0.3355 [18 per cell]
La  0.0705  0.5088  0.6666 [18 per cell]
Pm  0.0000  0.0000  0.0000 [3 per cell]
Dy  0.0167  0.8798  0.6642 [18 per cell]

=====

## Co2WSe (PBE)

Data for an optimized crystal structure of Co2WSe.

Summary:
- Calculated density: 11.5 g/cm³
- Density of states at the Fermi level: 1.2143 states/eV per atom
- E_form (uncorrected): 0.40 eV per atom
- Crystal system: monoclinic
- Total magnetization: 2.39 μB per cell
- Calculated total energy: -7.260 eV per atom
- Volume: 110.23 Å³/cell

Lattice parameters (Å, degrees): 8.405 2.972 4.440 90.00 96.27 90.00
Space group C2/m (No. 12)
One atom of each set of equivalent atoms:
Co  0.236  0.000  0.226 [4 per cell]
W  0.000  0.500  0.000 [2 per cell]
Se  0.000  0.000  0.500 [2 per cell]

=====

## NdHoTmCu (PBE)

Data for an optimized crystal structure of NdHoTmCu.

Summary:
- Calculated density: 8.5 g/cm³
- Density of states at the Fermi level: 1.0241 states/eV per atom
- Crystal system: tetragonal
- Formation enthalpy at 0 K: -0.111 eV/atom
- Total magnetization: 0.00 μB per cell
- Calculated total energy: -4.590 eV per atom
- Volume: 106.14 Å³/cell

Lattice parameters (Å, degrees): 3.492 3.492 8.702 90.00 90.00 90.00
Space group P4mm (No. 99)
One atom of each set of equivalent atoms:
Nd  0.000  0.000  0.000 [1 per cell]
Ho  0.500  0.500  0.690 [1 per cell]
Tm  0.500  0.500  0.307 [1 per cell]
Cu  0.000  0.000  0.493 [1 per cell]

=====

## Ca2InRu (PBE)

Data for an optimized crystal structure of Ca2InRu.

Summary:
- Calculated density: 5.4 g/cm³
- Density of states at the Fermi level: 0.6536 states/eV per atom
- Crystal system: tetragonal
- Formation enthalpy at 0 K: 0.050 eV/atom
- Total magnetization: 0.00 μB per cell
- Calculated total energy: -3.954 eV per atom
- Volume: 181.99 Å³/cell

Lattice parameters (Å, degrees): 4.617 4.617 8.538 90.00 90.00 90.00
Space group I-4m2 (No. 119)
One atom of each set of equivalent atoms:
Ca  0.000  0.000  0.000 [2 per cell]
Ca  0.000  0.500  0.250 [2 per cell]
In  0.000  0.500  0.750 [2 per cell]
Ru  0.000  0.000  0.500 [2 per cell]

=====

## SiBiAs2Se (PBE)

Data for an optimized crystal structure of SiBiAs2Se.

Summary:
- Calculated density: 4.8 g/cm³
- Density of states at the Fermi level: 1.1349 states/eV per atom
- E_form (uncorrected): 1.24 eV per atom
- Crystal system: tetragonal
- Total magnetization: 0.38 μB per cell
- Calculated total energy: -3.182 eV per atom
- Volume: 160.38 Å³/cell

Lattice parameters (Å, degrees): 5.405 5.405 5.489 90.00 90.00 90.00
Space group P4/mmm (No. 123)
One atom of each set of equivalent atoms:
Si  0.000  0.000  0.000 [1 per cell]
Bi  0.500  0.500  0.500 [1 per cell]
As  0.000  0.500  0.500 [2 per cell]
Se  0.500  0.500  0.000 [1 per cell]

=====

## MnCr2FeCo (PBE)

Data for an optimized crystal structure of MnCr2FeCo.

Summary:
- Calculated density: 6.5 g/cm³
- Density of states at the Fermi level: 1.9584 states/eV per atom
- Crystal system: tetragonal
- Formation enthalpy at 0 K: 1.419 eV/atom
- Total magnetization: 0.18 μB per cell
- Calculated total energy: -7.378 eV per atom
- Volume: 70.43 Å³/cell

Lattice parameters (Å, degrees): 4.097 4.097 4.196 90.00 90.00 90.00
Space group P4/mmm (No. 123)
One atom of each set of equivalent atoms:
Mn  0.000  0.000  0.000 [1 per cell]
Cr  0.000  0.500  0.500 [2 per cell]
Fe  0.500  0.500  0.500 [1 per cell]
Co  0.500  0.500  0.000 [1 per cell]

=====

## La2Ni3PdPt12 (PBE)

Data for an optimized crystal structure of La2Ni3PdPt12.

Summary:
- Calculated density: 13.2 g/cm³
- Density of states at the Fermi level: 1.1677 states/eV per atom
- Crystal system: trigonal
- Formation enthalpy at 0 K: 0.031 eV/atom
- Total magnetization: 13.76 μB per cell
- Calculated total energy: -5.796 eV per atom
- Volume: 1092.25 Å³/cell

Lattice parameters (Å, degrees): 8.1136 8.1136 19.1589 90.00 90.00 120.00
Space group R-3m (No. 166, hexagonal axes)
One atom of each set of equivalent atoms:
La  0.0000  0.0000  0.1157 [6 per cell]
Ni  0.0000  0.5000  0.0000 [9 per cell]
Pd  0.0000  0.0000  0.5000 [3 per cell]
Pt  0.0130  0.5065  0.3738 [18 per cell]
Pt  0.0138  0.5069  0.8736 [18 per cell]

=====

## UCoTc2 (PBE)

Data for an optimized crystal structure of UCoTc2.

Summary:
- Calculated density: 13.3 g/cm³
- Density of states at the Fermi level: 1.4641 states/eV per atom
- Crystal system: tetragonal
- Formation enthalpy at 0 K: -0.083 eV/atom
- Total magnetization: 0.00 μB per cell
- Calculated total energy: -9.864 eV per atom
- Volume: 61.46 Å³/cell

Lattice parameters (Å, degrees): 3.972 3.972 3.896 90.00 90.00 90.00
Space group P4/mmm (No. 123)
One atom of each set of equivalent atoms:
U  0.000  0.000  0.000 [1 per cell]
Co  0.500  0.500  0.000 [1 per cell]
Tc  0.000  0.500  0.500 [2 per cell]